An optimized crystal structure of Ta2NbH4. Source: Alexandria, functional PBE.

POSCAR file:
```
Ta2NbH4
1.0
-1.545 1.545 6.912
1.545 -1.545 6.912
1.545 1.545 -6.912
Ta Nb H
2 1 4
direct
0.176 0.176 0.000 Ta
0.824 0.824 0.000 Ta
0.500 0.500 0.000 Nb
0.088 0.588 0.500 H
0.412 0.912 0.500 H
0.588 0.088 0.500 H
0.912 0.412 0.500 H
```

Summary:
- V: 9.433 A^3/atom
- Relative energy among the computed polymorphs: 0.000 eV/atom
- E_tot: -6.905 eV/atom

An optimized crystal structure of Ag2MoOs. Source: Alexandria, functional PBE.

POSCAR file:
```
Ag2MoOs
1.0
3.756 0.000 0.000
0.000 3.756 0.000
0.000 0.000 4.604
Ag Mo Os
2 1 1
direct
0.000 0.500 0.000 Ag
0.500 0.000 0.000 Ag
0.000 0.000 0.500 Mo
0.500 0.500 0.500 Os
```

Summary:
- ΔE_f: 0.65 eV/atom
- V: 16.238 A^3/atom
- Relative energy among the computed polymorphs: 0.405 eV/atom
- E_tot: -6.293 eV/atom

An optimized crystal structure of Dy6ErSc4. Source: Alexandria, functional PBE.

POSCAR file:
```
Dy6ErSc4
1.0
-3.182 3.182 8.221
3.182 -3.182 8.221
3.182 3.182 -8.221
Dy Er Sc
6 1 4
direct
0.000 0.500 0.500 Dy
0.010 0.632 0.000 Dy
0.368 0.368 0.378 Dy
0.500 0.000 0.500 Dy
0.632 0.010 0.000 Dy
0.990 0.990 0.622 Dy
0.000 0.000 0.000 Er
0.201 0.201 0.651 Sc
0.450 0.799 0.000 Sc
0.550 0.550 0.349 Sc
0.799 0.450 0.000 Sc
```

Summary:
- ΔE_f: 0.32 eV/atom
- V: 30.267 A^3/atom
- Relative energy among the computed polymorphs: 0.161 eV/atom
- E_tot: -4.907 eV/atom

An optimized crystal structure of ErThTc. Source: Alexandria, functional PBE.

POSCAR file:
```
ErThTc
1.0
0.000 3.433 3.433
3.433 0.000 3.433
3.433 3.433 0.000
Er Th Tc
1 1 1
direct
0.000 0.000 0.000 Er
0.500 0.500 0.500 Th
0.250 0.250 0.250 Tc
```

Summary:
- ΔE_f: -0.02 eV/atom
- V: 26.966 A^3/atom
- Relative energy among the computed polymorphs: 0.080 eV/atom
- E_tot: -7.467 eV/atom

An optimized crystal structure of PrDy3As4. Source: Alexandria, functional PBE.

POSCAR file:
```
PrDy3As4
1.0
4.168 -5.892 0.000
4.168 5.892 0.000
0.000 0.000 4.170
Pr Dy As
1 3 4
direct
0.000 0.000 0.000 Pr
0.000 0.500 0.500 Dy
0.500 0.000 0.500 Dy
0.500 0.500 0.000 Dy
0.254 0.746 0.000 As
0.258 0.258 0.500 As
0.742 0.742 0.500 As
0.746 0.254 0.000 As
```

Summary:
- ΔE_f: -1.52 eV/atom
- V: 25.605 A^3/atom
- E_tot: -6.165 eV/atom

An optimized crystal structure of BaPaCu2Se4. Source: Alexandria, functional PBE.

POSCAR file:
```
BaPaCu2Se4
1.0
-3.375 3.864 4.262
3.375 -3.864 4.262
3.375 3.864 -4.262
Ba Pa Cu Se
1 1 2 4
direct
0.000 0.000 0.000 Ba
0.500 0.500 0.000 Pa
0.352 0.852 0.500 Cu
0.648 0.148 0.500 Cu
0.110 0.062 0.561 Se
0.499 0.938 0.048 Se
0.501 0.550 0.439 Se
0.890 0.450 0.952 Se
```

Summary:
- V: 27.791 A^3/atom
- Formation energy from raw total energies: -7.406 eV per formula unit
- E_tot: -5.119 eV/atom

An optimized crystal structure of SrPm2MgHg4. Source: Alexandria, functional PBE.

POSCAR file:
```
SrPm2MgHg4
1.0
2.649 1.530 8.907
-2.649 1.530 8.907
0.000 -3.059 8.907
Sr Pm Mg Hg
1 2 1 4
direct
0.000 0.000 0.000 Sr
0.244 0.244 0.244 Pm
0.756 0.756 0.756 Pm
0.500 0.500 0.500 Mg
0.126 0.126 0.126 Hg
0.381 0.381 0.381 Hg
0.619 0.619 0.619 Hg
0.874 0.874 0.874 Hg
```

Summary:
- ΔE_f: -0.44 eV/atom
- V: 27.072 A^3/atom
- E_tot: -2.192 eV/atom

An optimized crystal structure of Rb2TaCuSe5. Source: Alexandria, functional PBE.

POSCAR file:
```
Rb2TaCuSe5
1.0
1.831 -11.102 0.000
1.831 11.102 0.000
0.000 0.000 13.946
Rb Ta Cu Se
4 2 2 10
direct
0.121 0.879 0.500 Rb
0.125 0.875 0.915 Rb
0.875 0.125 0.415 Rb
0.879 0.121 0.000 Rb
0.238 0.762 0.196 Ta
0.762 0.238 0.696 Ta
0.428 0.572 0.651 Cu
0.572 0.428 0.151 Cu
0.113 0.887 0.234 Se
0.278 0.722 0.568 Se
0.282 0.718 0.827 Se
0.345 0.655 0.210 Se
0.489 0.511 0.519 Se
0.511 0.489 0.019 Se
0.655 0.345 0.710 Se
0.718 0.282 0.327 Se
0.722 0.278 0.068 Se
0.887 0.113 0.734 Se
```

Summary:
- V: 31.504 A^3/atom
- Formation energy from raw total energies: -5.996 eV per formula unit
- E_tot: -4.589 eV/atom